## NaPtCO5 (GGA-PBE)

Data for a relaxed structure of NaPtCO5.

abc: 5.2466 5.2466 7.0127
angles: 106.09 106.09 105.01
Last column: magnetic moment on the atom in μB.
Fractional coordinates of all 16 atoms:
O 0.4255 0.2473 0.0882  0.09
O 0.1040 0.6687 0.8440  0.02
O 0.8960 0.3313 0.1560  0.02
Pt 0.0000 0.0000 0.5000  0.17
O 0.3313 0.8960 0.6560  0.02
C 0.6963 0.3037 0.2500  0.00
Pt 0.0000 0.0000 0.0000  0.17
O 0.7527 0.5745 0.4118  0.09
Na 0.6467 0.3533 0.7500  0.00
Na 0.3533 0.6467 0.2500  0.00
O 0.9039 0.0961 0.7500  0.17
O 0.0961 0.9039 0.2500  0.17
C 0.3037 0.6963 0.7500  0.00
O 0.6687 0.1040 0.3440  0.02
O 0.2473 0.4255 0.5882  0.09
O 0.5745 0.7527 0.9118  0.09

Computed properties:
* magnetization: 0.6 μB per formula unit
* raw formation energy: -848 meV/atom